A plane-wave DFT calculation with GGA-PBE was carried out for an optimized crystal structure of Ce4OsSeS2.

* formation energy (no corrections): -1437.9 meV per atom
* final energy: -7.28 eV/atom

a b c (Å): 4.0257 7.0776 7.1734
angles (deg): 71.47 90.00 90.00
Last column: nearest neighbours and their distance in Å.
Sites, in units of the cell vectors:
Ce 0.0000 0.7520 0.7339  1 Os 2.81, 3 S 2.84-2.98, 2 Se 2.95
Ce 0.0000 0.2480 0.2661  1 Os 2.81, 3 S 2.84-2.98, 2 Se 2.95
Ce 0.5000 0.7444 0.2639  2 Os 2.84, 3 S 2.84-2.95, 1 Se 2.94
Ce 0.5000 0.2556 0.7361  2 Os 2.84, 3 S 2.84-2.95, 1 Se 2.94
Os 0.0000 0.5000 0.5000  6 Ce 2.81-2.84
Se 0.5000 0.5000 0.0000  6 Ce 2.94-2.95
S 0.0000 0.0000 0.0000  6 Ce 2.95-2.98
S 0.5000 0.0000 0.5000  6 Ce 2.84